(1)
The following is a PBE calculation of Th5Re2Pb2 after structural relaxation, from Alexandria.

Cell lengths 16.3704, 8.2150, 7.8170 Å; angles 90.00, 90.00, 90.00 degrees
Closest atoms and distances in Å follow each position.
Space group Cmce (No. 64)
Inequivalent atoms, fractional coordinates:
Th1 0.0000 0.0000 0.0000 x4  4 Re 3.03-3.22
Th2 0.1146 0.1677 0.3423 x16  3 Re 2.97-3.09
Re1 0.0000 0.1309 0.6376 x8  8 Th 2.97-3.22, 1 Re 3.04
Pb1 0.2150 0.0000 0.0000 x8  7 Th 3.35-3.52

Values from the calculation:
As for the density of states at the Fermi level: 32.98 states/eV per cell. The volume is 1051.25 Å³ per cell.


(2)
The following is a PBE calculation of Ga2CuBi2 after structural relaxation, from Alexandria.

Cell lengths 6.5873, 6.5873, 5.3210 Å; angles 90.00, 90.00, 90.00 degrees
Closest atoms and distances in Å follow each position.
Space group P4/mbm (No. 127)
Inequivalent atoms, fractional coordinates:
Ga1 0.1443 0.3557 0.0000 x4  2 Cu 2.53, 1 Ga 2.69
Cu1 0.0000 0.0000 0.0000 x2  4 Ga 2.53
Bi1 0.1838 0.6838 0.5000 x4  6 Ga 3.11-3.44, 5 Bi 3.41-3.42

Values from the calculation:
Its energy above the most stable polymorph in this dataset is 0.00 eV per formula unit. As for the density of states at the Fermi level: 3.91 states/eV per cell. The volume is 230.89 Å³ per cell.


(3)
The following is a PBE calculation of CsAg2As2 after structural relaxation, from Alexandria.

Cell lengths 8.8563, 8.8563, 3.1233 Å; angles 90.00, 90.00, 90.00 degrees
Closest atoms and distances in Å follow each position.
Space group P4/mbm (No. 127)
Inequivalent atoms, fractional coordinates:
Cs1 0.0000 0.0000 0.0000 x2  2 Cs 3.12
Ag1 0.1201 0.3799 0.0000 x4  4 As 2.89, 3 Ag 3.01-3.12
As1 0.1526 0.6526 0.5000 x4  4 Ag 2.89, 2 As 3.12

Values from the calculation:
Its energy above the most stable polymorph in this dataset is 1.18 eV per formula unit. As for the density of states at the Fermi level: 5.21 states/eV per cell. The volume is 244.97 Å³ per cell.


(4)
The following is a PBE calculation of La3Ni2Sn7 after structural relaxation, from Alexandria.

Cell lengths 4.6042, 28.8265, 4.5651 Å; angles 90.00, 90.00, 90.00 degrees
Closest atoms and distances in Å follow each position.
Space group Cmmm (No. 65)
Inequivalent atoms, fractional coordinates:
La1 0.0000 0.0000 0.0000 x2  12 Sn 3.24-3.46
La2 0.0000 0.1798 0.0000 x4  10 Sn 3.45-3.67, 4 Ni 3.50
Ni1 0.0000 0.3658 0.5000 x4  5 Sn 2.48-2.63
Sn1 0.0000 0.0902 0.5000 x4  2 Ni 2.63
Sn2 0.0000 0.2797 0.5000 x4  1 Ni 2.48
Sn3 0.0000 0.4102 0.0000 x4  2 Ni 2.62
Sn4 0.0000 0.5000 0.5000 x2  4 La 3.24, 8 Sn 3.45-3.47

Values from the calculation:
As for the density of states at the Fermi level: 11.16 states/eV per cell. The volume is 605.90 Å³ per cell.


(5)
The following is a PBE calculation of LaNd3Y3 after structural relaxation, from Alexandria.

Cell lengths 10.7304, 10.7304, 7.2627 Å; angles 90.00, 90.00, 120.00 degrees
Closest atoms and distances in Å follow each position.
Space group R3m (No. 160, hexagonal axes)
Inequivalent atoms, fractional coordinates:
La1 0.0000 0.0000 0.0000 x3  3 Nd 2.98
Nd1 0.1893 0.3786 0.8469 x9  1 La 2.98
Y1 0.2105 0.4211 0.3111 x9  5 Nd 3.39-3.59, 1 La 3.45

Values from the calculation:
Its energy above the most stable polymorph in this dataset is 0.76 eV per formula unit. As for the density of states at the Fermi level: 31.60 states/eV per cell. The volume is 724.21 Å³ per cell.


(6)
The following is a PBE calculation of PmHgRu after structural relaxation, from Alexandria.

Cell lengths 3.3108, 3.3108, 25.8779 Å; angles 90.00, 90.00, 90.00 degrees
Closest atoms and distances in Å follow each position.
Space group I4/mmm (No. 139)
Inequivalent atoms, fractional coordinates:
Pm1 0.0000 0.0000 0.1488 x4  5 Ru 3.11-3.19, 4 Pm 3.31, 4 Hg 3.36
Hg1 0.0000 0.0000 0.4444 x4  1 Hg 2.88
Ru1 0.0000 0.0000 0.2719 x4  4 Ru 2.60

Values from the calculation:
As for the density of states at the Fermi level: 13.79 states/eV per cell. The volume is 283.66 Å³ per cell.


no.,DFT formation energy (meV/atom)
1,-148
2,149
3,135
4,-589
5,239
6,-17